No. 1
Below is a geometry-optimized KCaSb2 structure, with properties calculated at the PBE-GGA level.

abc: 5.932 5.932 5.932
angles: 129.67 129.67 73.93
Fractional coordinates of all 4 atoms:
Ca: 0.250 0.750 0.500
K: 0.750 0.250 0.500
Sb: 0.000 0.000 0.000
Sb: 0.500 0.500 0.000

## Properties
DOS(E_F) = 0.37 states/eV per atom
uncorrected formation energy = -201 kJ/mol of formula units
space-group type = I4/mmm (139)
ΔE to the lowest computed polymorph = 0.48 eV per formula unit

***

No. 2
Below is a geometry-optimized Ca2PmGa structure, with properties calculated at the PBE-GGA level.

abc: 3.541 3.541 9.854
angles: 90.00 90.00 90.00
Fractional coordinates of all 4 atoms:
Ca: 0.000 0.000 0.801
Ca: 0.000 0.000 0.199
Ga: 0.500 0.500 0.000
Pm: 0.500 0.500 0.500

## Properties
DOS(E_F) = 0.81 states/eV per atom
space-group type = P4/mmm (123)
DFT formation energy = -0.167 eV per atom
ΔE to the lowest computed polymorph = 0.18 eV per formula unit

***

No. 3
Below is a geometry-optimized Tb4Ho3S8 structure, with properties calculated at the PBE-GGA level.

abc: 7.803 7.800 7.800
angles: 89.99 120.02 120.02
Fractional coordinates of all 15 atoms:
Tb: 0.500 0.000 0.000
Tb: 0.000 0.500 0.000
Tb: 0.000 0.000 0.000
Tb: 0.000 0.000 0.500
Ho: 0.500 0.500 0.000
Ho: 0.500 0.000 0.500
Ho: 0.500 0.500 0.500
S: 0.504 0.253 0.253
S: 0.000 0.748 0.252
S: 0.003 0.253 0.253
S: 0.500 0.749 0.251
S: 0.500 0.251 0.749
S: 0.997 0.747 0.747
S: 0.000 0.252 0.748
S: 0.496 0.747 0.747

## Properties
DOS(E_F) = 0.41 states/eV per atom
uncorrected formation energy = -2966 kJ/mol of formula units
space-group type = C2/m (12)

***

No. 4
Below is a geometry-optimized CsGeBiS3 structure, with properties calculated at the PBE-GGA level.

abc: 3.995 8.932 11.488
angles: 111.46 90.00 90.00
Fractional coordinates of all 12 atoms:
Cs: 0.250 0.246 0.290
Cs: 0.750 0.754 0.710
Ge: 0.250 0.127 0.564
Ge: 0.750 0.873 0.436
Bi: 0.250 0.637 0.153
Bi: 0.750 0.363 0.847
S: 0.750 0.889 0.238
S: 0.250 0.111 0.762
S: 0.250 0.683 0.411
S: 0.750 0.317 0.589
S: 0.750 0.405 0.105
S: 0.250 0.595 0.895

## Properties
uncorrected formation energy = -358 kJ/mol of formula units
space-group type = P2_1/m (11)

***

No. 5
Below is a geometry-optimized Nd12Ga6Pb structure, with properties calculated at the PBE-GGA level.

abc: 9.060 9.060 9.060
angles: 109.47 109.47 109.47
Fractional coordinates of all 19 atoms:
Nd: 0.296 0.107 0.811
Nd: 0.296 0.485 0.189
Nd: 0.704 0.515 0.811
Nd: 0.704 0.893 0.189
Nd: 0.107 0.811 0.296
Nd: 0.485 0.189 0.296
Nd: 0.515 0.811 0.704
Nd: 0.893 0.189 0.704
Nd: 0.811 0.296 0.107
Nd: 0.189 0.296 0.485
Nd: 0.811 0.704 0.515
Nd: 0.189 0.704 0.893
Ga: 0.380 0.500 0.880
Ga: 0.620 0.500 0.120
Ga: 0.500 0.880 0.380
Ga: 0.500 0.120 0.620
Ga: 0.880 0.380 0.500
Ga: 0.120 0.620 0.500
Pb: 0.000 0.000 0.000

## Properties
DOS(E_F) = 0.95 states/eV per atom
space-group type = Im-3 (204)
DFT formation energy = -0.387 eV per atom

***

No. 6
Below is a geometry-optimized Si2HgP structure, with properties calculated at the PBE-GGA level.

abc: 5.971 5.971 5.971
angles: 143.58 143.58 52.46
Fractional coordinates of all 4 atoms:
Hg: 0.250 0.750 0.500
P: 0.750 0.250 0.500
Si: 0.000 0.000 0.000
Si: 0.500 0.500 0.000

## Properties
DOS(E_F) = 0.45 states/eV per atom
uncorrected formation energy = 271 kJ/mol of formula units
space-group type = I4/mmm (139)
ΔE to the lowest computed polymorph = 1.80 eV per formula unit

***

No. 7
Below is a geometry-optimized CsHg4Bi structure, with properties calculated at the PBE-GGA level.

abc: 5.469 5.469 8.815
angles: 90.00 90.00 90.00
Fractional coordinates of all 6 atoms:
Cs: 0.000 0.000 0.000
Hg: 0.500 0.000 0.692
Hg: 0.000 0.500 0.692
Hg: 0.500 0.000 0.308
Hg: 0.000 0.500 0.308
Bi: 0.500 0.500 0.500

## Properties
DOS(E_F) = 0.77 states/eV per atom
space-group type = P4/mmm (123)
DFT formation energy = -0.015 eV per atom
ΔE to the lowest computed polymorph = 0.78 eV per formula unit

***

No. 8
Below is a geometry-optimized K2HoTlF6 structure, with properties calculated at the PBE-GGA level.

abc: 6.565 6.563 6.780
angles: 61.03 61.01 59.99
Fractional coordinates of all 10 atoms:
K: 0.536 0.536 0.393
K: 0.026 0.027 0.921
Ho: 0.320 0.320 0.041
Tl: 0.807 0.806 0.581
F: 0.559 0.218 0.234
F: 0.218 0.989 0.234
F: 0.989 0.559 0.234
F: 0.416 0.654 0.793
F: 0.654 0.137 0.792
F: 0.137 0.416 0.793

## Properties
DOS(E_F) = 0.00 states/eV per atom
uncorrected formation energy = -3033 kJ/mol of formula units
space-group type = R3 (146)

***

No. 9
Below is a geometry-optimized Tb2CeZn4 structure, with properties calculated at the PBE-GGA level.

abc: 5.208 5.208 7.255
angles: 111.03 111.03 90.00
Site moments in Bohr magnetons follow the coordinates.
Fractional coordinates of all 7 atoms:
Tb: 0.724 0.724 0.448  0.01
Tb: 0.276 0.276 0.552  0.01
Ce: 0.000 0.000 0.000  0.56
Zn: 0.389 0.889 0.777  0.01
Zn: 0.889 0.389 0.777  0.01
Zn: 0.611 0.111 0.223  0.01
Zn: 0.111 0.611 0.223  0.01

## Properties
DOS(E_F) = 1.19 states/eV per atom
space-group type = I4/mmm (139)
DFT formation energy = -0.098 eV per atom

***

No. 10
Below is a geometry-optimized Tm2InAg3 structure, with properties calculated at the PBE-GGA level.

abc: 5.827 5.827 9.035
angles: 101.83 101.83 111.36
Fractional coordinates of all 12 atoms:
Tm: 0.250 0.750 0.500
Tm: 0.754 0.754 0.000
Tm: 0.750 0.250 0.500
Tm: 0.246 0.246 0.000
In: 0.666 0.666 0.332
In: 0.334 0.334 0.668
Ag: 0.332 0.833 0.165
Ag: 0.167 0.668 0.835
Ag: 0.668 0.167 0.835
Ag: 0.833 0.332 0.165
Ag: 0.167 0.167 0.334
Ag: 0.833 0.833 0.666

## Properties
DOS(E_F) = 0.64 states/eV per atom
space-group type = Fmmm (69)
DFT formation energy = -0.294 eV per atom
ΔE to the lowest computed polymorph = 0.14 eV per formula unit

***

No. 11
Below is a geometry-optimized Sc3PC structure, with properties calculated at the PBE-GGA level.

abc: 4.359 6.044 7.219
angles: 114.75 90.00 90.00
Fractional coordinates of all 10 atoms:
Sc: 0.500 0.249 0.000
Sc: 0.000 0.866 0.732
Sc: 0.500 0.751 0.000
Sc: 0.500 0.500 0.500
Sc: 0.000 0.134 0.268
Sc: 0.500 0.000 0.500
P: 0.000 0.646 0.292
P: 0.000 0.354 0.708
C: 0.500 0.125 0.250
C: 0.500 0.875 0.750

## Properties
DOS(E_F) = 0.46 states/eV per atom
space-group type = Cmmm (65)
DFT formation energy = -0.728 eV per atom

***

No. 12
Below is a geometry-optimized LiTaC2 structure, with properties calculated at the PBE-GGA level.

abc: 3.786 3.786 3.786
angles: 60.00 60.00 60.00
Fractional coordinates of all 4 atoms:
C: 0.250 0.250 0.250
C: 0.750 0.750 0.750
Li: 0.000 0.000 0.000
Ta: 0.500 0.500 0.500

## Properties
DOS(E_F) = 0.41 states/eV per atom
space-group type = Fm-3m (225)
DFT formation energy = 0.822 eV per atom
ΔE to the lowest computed polymorph = 0.33 eV per formula unit

***

No. 13
Below is a geometry-optimized Th6Te3OsRu2 structure, with properties calculated at the PBE-GGA level.

abc: 4.175 9.082 10.010
angles: 109.48 102.04 90.00
Fractional coordinates of all 12 atoms:
Th: 0.344 0.888 0.689
Th: 0.678 0.555 0.356
Th: 0.656 0.112 0.311
Th: 0.011 0.221 0.022
Th: 0.989 0.779 0.978
Th: 0.322 0.445 0.644
Te: 0.500 0.500 0.000
Te: 0.833 0.167 0.667
Te: 0.167 0.833 0.333
Os: 0.500 0.000 0.000
Ru: 0.833 0.666 0.666
Ru: 0.167 0.334 0.334

## Properties
DOS(E_F) = 0.27 states/eV per atom
uncorrected formation energy = -1016 kJ/mol of formula units
space-group type = C2/m (12)

***

No. 14
Below is a geometry-optimized LuCu6 structure, with properties calculated at the PBE-GGA level.

abc: 5.514 5.514 5.514
angles: 109.47 109.47 109.47
Fractional coordinates of all 7 atoms:
Lu: 0.000 0.000 0.000
Cu: 0.250 0.750 0.500
Cu: 0.500 0.750 0.250
Cu: 0.250 0.500 0.750
Cu: 0.750 0.250 0.500
Cu: 0.500 0.250 0.750
Cu: 0.750 0.500 0.250

## Properties
DOS(E_F) = 0.41 states/eV per atom
space-group type = Im-3m (229)
DFT formation energy = 0.521 eV per atom

***

No. 15
Below is a geometry-optimized SmPu2CuS5 structure, with properties calculated at the PBE-GGA level.

abc: 3.849 8.567 11.716
angles: 90.00 90.00 102.98
Site moments in Bohr magnetons follow the coordinates.
Fractional coordinates of all 18 atoms:
Sm: 0.818 0.636 0.528  0.04
Sm: 0.182 0.364 0.028  0.04
Pu: 0.893 0.786 0.848  5.10
Pu: 0.114 0.227 0.691  5.11
Pu: 0.107 0.214 0.348  5.10
Pu: 0.886 0.773 0.191  5.11
Cu: 0.550 0.101 0.923  -0.09
Cu: 0.450 0.899 0.423  -0.09
S: 0.348 0.696 0.018  -0.10
S: 0.681 0.362 0.854  -0.06
S: 0.494 0.988 0.748  -0.15
S: 0.303 0.606 0.697  -0.07
S: 0.987 0.974 0.516  -0.09
S: 0.652 0.304 0.518  -0.10
S: 0.319 0.638 0.354  -0.06
S: 0.506 0.012 0.248  -0.15
S: 0.697 0.394 0.197  -0.07
S: 0.013 0.026 0.016  -0.09

## Properties
DOS(E_F) = 1.92 states/eV per atom
uncorrected formation energy = -1308 kJ/mol of formula units
space-group type = Cmc2_1 (36)

***

No. 16
Below is a geometry-optimized MoIrOs2 structure, with properties calculated at the PBE-GGA level.

abc: 4.776 4.776 4.753
angles: 80.29 80.29 33.51
Fractional coordinates of all 4 atoms:
Ir: 0.499 0.499 0.498
Mo: 0.251 0.251 0.252
Os: 0.003 0.003 0.988
Os: 0.747 0.747 0.762

## Properties
DOS(E_F) = 0.90 states/eV per atom
space-group type = Cm (8)
DFT formation energy = -0.001 eV per atom
ΔE to the lowest computed polymorph = 0.40 eV per formula unit

***

No. 17
Below is a geometry-optimized Cs2LiCCl6 structure, with properties calculated at the PBE-GGA level.

abc: 7.053 7.053 7.155
angles: 60.47 60.47 90.00
Fractional coordinates of all 10 atoms:
Cs: 0.750 0.250 0.500
Cs: 0.250 0.750 0.500
C: 0.000 0.000 0.000
Li: 0.500 0.500 0.000
Cl: 0.215 0.215 0.571
Cl: 0.785 0.785 0.429
Cl: 0.231 0.231 0.000
Cl: 0.769 0.769 0.000
Cl: 0.769 0.231 0.000
Cl: 0.231 0.769 0.000

## Properties
DOS(E_F) = 0.57 states/eV per atom
uncorrected formation energy = -657 kJ/mol of formula units
space-group type = I4/mmm (139)

***

No. 18
Below is a geometry-optimized Nd2SmTm12 structure, with properties calculated at the PBE-GGA level.

abc: 6.597 6.597 24.500
angles: 96.72 96.72 115.15
Fractional coordinates of all 30 atoms:
Nd: 0.460 0.960 0.281
Nd: 0.961 0.461 0.282
Nd: 0.040 0.540 0.719
Nd: 0.539 0.039 0.718
Sm: 0.499 0.999 0.000
Sm: 0.001 0.501 0.000
Tm: 0.605 0.605 0.808
Tm: 0.105 0.105 0.808
Tm: 0.948 0.951 0.933
Tm: 0.148 0.648 0.865
Tm: 0.997 0.998 0.331
Tm: 0.352 0.852 0.135
Tm: 0.680 0.180 0.571
Tm: 0.498 0.497 0.331
Tm: 0.451 0.448 0.933
Tm: 0.552 0.549 0.067
Tm: 0.168 0.165 0.555
Tm: 0.820 0.320 0.429
Tm: 0.002 0.003 0.669
Tm: 0.333 0.335 0.445
Tm: 0.049 0.052 0.067
Tm: 0.835 0.833 0.445
Tm: 0.665 0.667 0.555
Tm: 0.895 0.895 0.192
Tm: 0.177 0.677 0.570
Tm: 0.503 0.502 0.669
Tm: 0.647 0.147 0.863
Tm: 0.395 0.395 0.192
Tm: 0.323 0.823 0.430
Tm: 0.853 0.353 0.137

## Properties
DOS(E_F) = 1.67 states/eV per atom
space-group type = C2/m (12)
DFT formation energy = 0.107 eV per atom

***

No. 19
Below is a geometry-optimized SrSi2Br structure, with properties calculated at the PBE-GGA level.

abc: 3.750 3.726 8.378
angles: 82.48 90.00 90.00
Fractional coordinates of all 4 atoms:
Br: 0.500 0.827 0.678
Si: 0.000 0.943 0.162
Si: 0.500 0.348 0.171
Sr: 0.000 0.382 0.489

## Properties
DOS(E_F) = 0.40 states/eV per atom
uncorrected formation energy = -174 kJ/mol of formula units
space-group type = Pm (6)
ΔE to the lowest computed polymorph = 0.81 eV per formula unit

***

No. 20
Below is a geometry-optimized ScGe2Br structure, with properties calculated at the PBE-GGA level.

abc: 3.845 3.845 12.144
angles: 80.89 80.89 90.00
Fractional coordinates of all 8 atoms:
Sc: 0.500 0.500 0.000
Sc: 0.250 0.750 0.500
Ge: 0.598 0.125 0.250
Ge: 0.152 0.625 0.250
Ge: 0.375 0.402 0.750
Ge: 0.875 0.848 0.750
Br: 0.000 0.000 0.000
Br: 0.750 0.250 0.500

## Properties
DOS(E_F) = 0.75 states/eV per atom
uncorrected formation energy = -86 kJ/mol of formula units
space-group type = I-42d (122)
ΔE to the lowest computed polymorph = 0.00 eV per formula unit

***

No. 21
Below is a geometry-optimized TiAlW2 structure, with properties calculated at the PBE-GGA level.

abc: 7.125 7.125 5.712
angles: 51.42 51.42 90.00
Fractional coordinates of all 8 atoms:
Al: 0.500 0.500 0.000
Al: 0.250 0.750 0.500
W: 0.618 0.125 0.250
W: 0.132 0.625 0.250
W: 0.375 0.382 0.750
W: 0.875 0.868 0.750
Ti: 0.000 0.000 0.000
Ti: 0.750 0.250 0.500

## Properties
DOS(E_F) = 0.91 states/eV per atom
space-group type = I-42d (122)
DFT formation energy = 0.737 eV per atom

***

No. 22
Below is a geometry-optimized ReIrRh structure, with properties calculated at the PBE-GGA level.

abc: 3.893 3.880 6.090
angles: 90.00 108.64 90.00
Fractional coordinates of all 6 atoms:
Re: 0.419 0.250 0.838
Re: 0.581 0.750 0.162
Ir: 0.921 0.750 0.841
Ir: 0.079 0.250 0.159
Rh: 0.753 0.250 0.506
Rh: 0.247 0.750 0.494

## Properties
DOS(E_F) = 0.83 states/eV per atom
space-group type = Cmcm (63)
DFT formation energy = -0.123 eV per atom
ΔE to the lowest computed polymorph = 0.07 eV per formula unit

***

No. 23
Below is a geometry-optimized LaAlS2N structure, with properties calculated at the PBE-GGA level.

abc: 4.817 4.817 3.792
angles: 90.00 90.00 90.00
Site moments in Bohr magnetons follow the coordinates.
Fractional coordinates of all 5 atoms:
S: 0.000 0.500 0.000  0.09
S: 0.500 0.000 0.000  0.09
N: 0.000 0.000 0.500  0.56
Al: 0.000 0.000 0.000  -0.01
La: 0.500 0.500 0.500  -0.01

## Properties
DOS(E_F) = 0.20 states/eV per atom
uncorrected formation energy = -501 kJ/mol of formula units
space-group type = P4/mmm (123)
ΔE to the lowest computed polymorph = 0.00 eV per formula unit

***

The E_tot results, record by record, are as follows: -13.4 -12.4 -96.0 -50.9 -86.4 -13.7 -6.0 -51.8 -21.0 -44.0 -74.5 -28.9 -94.3 -25.4 -143.3 -42.2 -30.7 -132.6 -16.0 -36.3 -69.2 -58.1 -30.4 eV/cell.